LiPaCr2O8 | GGA+U | optimized geometry

## Properties
For the electronic total energy, the calculation gives -181.2 eV per cell.

Unit cell a=7.008 b=7.008 c=6.454 alpha=90.00 beta=90.00 gamma=90.00
Space group I-4m2 (No. 119)
Unique sites:
1 Li 0.000 0.000 0.000 x2
2 Pa 0.000 0.500 0.750 x2
3 Cr 0.000 0.000 0.500 x2
4 Cr 0.000 0.500 0.250 x2
5 O 0.000 0.204 0.666 x8
6 O 0.000 0.315 0.088 x8